1.
# SeSI2N | Alexandria | PBE-GGA | relaxed
data_SeSI2N
_chemical_formula_sum 'Se1 S1 I2 N1'
_cell_length_a 6.258
_cell_length_b 6.258
_cell_length_c 3.610
_cell_angle_alpha 90.00
_cell_angle_beta 90.00
_cell_angle_gamma 90.00
_space_group_name_H-M_alt 'P 4/m m m'
_space_group_IT_number 123
_space_group_name_Hall '-P 4 2'
loop_
_atom_site_label
_atom_site_type_symbol
_atom_site_fract_x
_atom_site_fract_y
_atom_site_fract_z
Se1 Se 0.000 0.000 0.000
S1 S 0.500 0.500 0.500
I1 I 0.000 0.500 0.000
N1 N 0.000 0.000 0.500
# E_tot: -2.607 eV/atom
# Offset from the most stable computed form: 6.114 kcal/mol of atoms

2.
# HfSnSeBr2 | Alexandria | PBE-GGA | relaxed
data_HfSnSeBr2
_chemical_formula_sum 'Hf1 Sn1 Se1 Br2'
_cell_length_a 5.273
_cell_length_b 5.273
_cell_length_c 5.199
_cell_angle_alpha 90.00
_cell_angle_beta 90.00
_cell_angle_gamma 90.00
_space_group_name_H-M_alt 'P 4/m m m'
_space_group_IT_number 123
_space_group_name_Hall '-P 4 2'
loop_
_atom_site_label
_atom_site_type_symbol
_atom_site_fract_x
_atom_site_fract_y
_atom_site_fract_z
Hf1 Hf 0.000 0.000 0.000
Sn1 Sn 0.500 0.500 0.500
Se1 Se 0.000 0.000 0.500
Br1 Br 0.000 0.500 0.000
# E_tot: -4.592 eV/atom
# Offset from the most stable computed form: 0.000 kcal/mol of atoms

3.
# Ac2HfRh | Alexandria | PBE-GGA | relaxed
data_Ac2HfRh
_chemical_formula_sum 'Ac6 Hf3 Rh3'
_cell_length_a 3.7757
_cell_length_b 3.7757
_cell_length_c 31.6170
_cell_angle_alpha 90.00
_cell_angle_beta 90.00
_cell_angle_gamma 120.00
_space_group_name_H-M_alt 'R -3 m'
_space_group_IT_number 166
_space_group_name_Hall '-R 3 2"'
loop_
_atom_site_label
_atom_site_type_symbol
_atom_site_fract_x
_atom_site_fract_y
_atom_site_fract_z
Ac1 Ac 0.0000 0.0000 0.1050
Hf1 Hf 0.0000 0.0000 0.0000
Rh1 Rh 0.0000 0.0000 0.5000
# E_tot: -6.002 eV/atom
# Energy relative to the elements: 0.38 eV/atom